(1)
Material: NiMo2Cl
Method: DFT, GGA-PBE
State: optimized geometry

a = 5.0262 Å, b = 5.0262 Å, c = 5.0262 Å
α = 136.86°, β = 136.86°, γ = 62.65°
Fractional coordinates of all 4 atoms:
Ni (0.0000, 0.0000, 0.0000)
Mo (0.5000, 0.5000, 0.0000)
Mo (0.7500, 0.2500, 0.5000)
Cl (0.2500, 0.7500, 0.5000)

Results
ΔE to the lowest computed polymorph in eV/atom: 0.6631
Raw formation energy in meV per atom: 874
M_tot in Bohr magnetons per cell: 0.000

=====

(2)
Material: Sr2Cd4In
Method: DFT, GGA-PBE
State: optimized geometry

a = 6.6474 Å, b = 6.5901 Å, c = 9.6275 Å
α = 90.00°, β = 104.31°, γ = 90.00°
Fractional coordinates of all 14 atoms:
Sr (0.1168, 0.2500, 0.4074)
Sr (0.2741, 0.7500, 0.0142)
Sr (0.7259, 0.2500, 0.9858)
Sr (0.8832, 0.7500, 0.5926)
Cd (0.2580, 0.2500, 0.0960)
Cd (0.3116, 0.7500, 0.4109)
Cd (0.4085, 0.5256, 0.6964)
Cd (0.4085, 0.9744, 0.6964)
Cd (0.5915, 0.0256, 0.3036)
Cd (0.5915, 0.4744, 0.3036)
Cd (0.6884, 0.2500, 0.5891)
Cd (0.7420, 0.7500, 0.9040)
In (0.1089, 0.2500, 0.7849)
In (0.8911, 0.7500, 0.2151)

Results
E_form in eV per atom: -0.305
M_tot in Bohr magnetons per cell: 0.000

=====

(3)
Material: Ce2NdThP4
Method: DFT, GGA-PBE
State: optimized geometry

a = 7.1388 Å, b = 4.1263 Å, c = 7.1490 Å
α = 90.00°, β = 109.47°, γ = 90.00°
Fractional coordinates of all 8 atoms:
Ce (0.0000, 0.0000, 0.0000)
Ce (0.5000, 0.5000, 0.0000)
Nd (0.0000, 0.5000, 0.5000)
Th (0.5000, 0.0000, 0.5000)
P (0.2506, 0.5000, 0.2464)
P (0.2541, 0.0000, 0.7555)
P (0.7459, 0.0000, 0.2445)
P (0.7494, 0.5000, 0.7536)

Results
E_form in eV per atom: -1.538
M_tot in Bohr magnetons per cell: 1.093

=====

- What is the M_tot in the second record?
  0.000 Bohr magnetons per cell